[1]
## TiNiW2 (GGA-PBE)

Data for a relaxed structure of TiNiW2.

abc: 7.080 7.080 5.102
angles: 90.00 90.00 90.00
Space group I-42d (No. 122)
Symmetry-distinct sites (fractional):
Ti 0.000 0.000 0.000
Ni 0.000 0.000 0.500
W 0.223 0.250 0.625

Computed properties:
crystal system: tetragonal
energy of formation: 577 meV/atom
total magnetic moment: 0.0 μB per formula unit
energy relative to the lowest polymorph listed for this composition: 300 meV/atom

[2]
## TcCl2 (GGA-PBE)

Data for a relaxed structure of TcCl2.

abc: 5.567 5.874 3.503
angles: 90.00 90.00 90.00
Space group Pnnm (No. 58)
Symmetry-distinct sites (fractional):
Tc 0.000 0.000 0.000
Cl 0.248 0.338 0.000

Computed properties:
crystal system: orthorhombic
total magnetic moment: 1.0 μB per formula unit
ΔE_f (raw): -0.20 eV per atom
energy relative to the lowest polymorph listed for this composition: 353 meV/atom

[3]
## Ac6Au5 (GGA-PBE)

Data for a relaxed structure of Ac6Au5.

abc: 5.501 7.805 16.580
angles: 90.00 90.00 90.00
Space group Immm (No. 71)
Symmetry-distinct sites (fractional):
Ac 0.000 0.245 0.000
Ac 0.000 0.252 0.331
Au 0.000 0.000 0.167
Au 0.000 0.500 0.156
Au 0.000 0.500 0.500

Computed properties:
crystal system: orthorhombic
energy of formation: -677 meV/atom
total magnetic moment: 0.0 μB per formula unit

[4]
## ZrZn2Cd (GGA-PBE)

Data for a relaxed structure of ZrZn2Cd.

abc: 2.966 4.450 5.775
angles: 90.00 90.19 90.00
Space group P2/m (No. 10)
Symmetry-distinct sites (fractional):
Zr 0.000 0.000 0.000
Zn 0.498 0.500 0.772
Cd 0.500 0.000 0.500

Computed properties:
crystal system: monoclinic
energy of formation: -108 meV/atom
total magnetic moment: 0.0 μB per formula unit

Q: total magnetic moment of number 3 (Ac6Au5)?
A: 0.0 μB per formula unit

Q: total magnetic moment of number 1 (TiNiW2)?
A: 0.0 μB per formula unit